10
Lattice="-5.7679 5.4875 -3.4376 -3.5300 1.1947 7.8300 2.9889 3.6380 0.7924" Properties=species:S:1:pos:R:3 comment="CsRb2H2, optimized geometry, DFT PBE-GGA" total_energy_ev_per_fu=-8.98 spacegroup="No. 127" crystal_system=tetragonal n_ef_per_ev_cell=3.63 pbc="T T T"
Cs 0.0000 0.0000 0.0000
Cs -4.6489 3.3411 2.1962
H -4.8224 2.7946 5.3594
H -7.1498 5.3500 2.4062
H -4.4755 3.8876 -0.9669
H -2.1481 1.3322 1.9863
Rb -1.6897 3.4363 4.9816
Rb -5.2611 6.4127 4.7876
Rb -4.6193 6.8839 0.2032
Rb -1.0479 3.9075 0.3972